# 1
## BaZnTe2N (SCAN)

Data for BaZnTe2N at its PBEsol-relaxed geometry.

ΔE_f (raw) = 0.915 eV/atom
Total magnetic moment = 1.004 μB/atom
Energy = -26.457 eV/atom

Structure (extended XYZ):
```
5
Lattice="6.553 0.000 0.000 0.000 6.553 0.000 0.000 0.000 5.094" Properties=species:S:1:pos:R:3 pbc="T T T"
Ba 0.000 0.000 0.000
Zn 3.277 3.277 2.547
Te 0.000 3.277 0.000
Te 3.277 0.000 0.000
N 0.000 0.000 2.547
```


# 2
## BaTi3N (SCAN)

Data for BaTi3N at its PBEsol-relaxed geometry.

ΔE_f (raw) = 2.940 eV/atom
Total magnetic moment = 0.403 μB/atom
Energy = -16.446 eV/atom

Structure (extended XYZ):
```
5
Lattice="4.863 0.000 0.000 0.000 4.863 0.000 0.000 0.000 4.863" Properties=species:S:1:pos:R:3 pbc="T T T"
Ba 0.000 0.000 0.000
Ti 0.000 0.000 2.431
Ti 0.000 2.431 0.000
Ti 2.431 0.000 0.000
N 2.431 2.431 2.431
```